Record 1
# Sr2CdPt2 (PBE, relaxed)
data_Sr2CdPt2
_cell_length_a 4.612
_cell_length_b 6.004
_cell_length_c 9.206
_cell_angle_alpha 90.00
_cell_angle_beta 90.00
_cell_angle_gamma 90.00
_symmetry_space_group_name_H-M 'I m m m'
_symmetry_Int_Tables_number 71
_symmetry_space_group_name_Hall '-I 2 2'
loop_
_atom_site_label
_atom_site_type_symbol
_atom_site_fract_x
_atom_site_fract_y
_atom_site_fract_z
Sr1 Sr 0.000 0.000 0.201
Cd1 Cd 0.000 0.500 0.000
Pt1 Pt 0.000 0.273 0.500
# Mass density = 8.8 g cm⁻³
# E_form = -0.756 eV per atom
# E = -4.028 eV/atom
# Magnetic moment = 0.0000 μB/atom


Record 2
# K2LiTl6 (PBE, relaxed)
data_K2LiTl6
_cell_length_a 11.336
_cell_length_b 7.300
_cell_length_c 7.099
_cell_angle_alpha 90.00
_cell_angle_beta 97.29
_cell_angle_gamma 90.00
_symmetry_space_group_name_H-M 'C 1 2/m 1'
_symmetry_Int_Tables_number 12
_symmetry_space_group_name_Hall '-C 2y'
loop_
_atom_site_label
_atom_site_type_symbol
_atom_site_fract_x
_atom_site_fract_y
_atom_site_fract_z
K1 K 0.163 0.000 0.361
Li1 Li 0.000 0.500 0.500
Tl1 Tl 0.106 0.228 0.837
Tl2 Tl 0.139 0.500 0.194
# Mass density = 7.5 g cm⁻³
# E_form = -0.087 eV per atom
# E = -2.121 eV/atom
# Magnetic moment = 0.0000 μB/atom


Record 3
# Rb2LaThSe4 (PBE, relaxed)
data_Rb2LaThSe4
_cell_length_a 7.593
_cell_length_b 4.369
_cell_length_c 8.444
_cell_angle_alpha 90.00
_cell_angle_beta 107.28
_cell_angle_gamma 90.00
_symmetry_space_group_name_H-M 'P 1 2/m 1'
_symmetry_Int_Tables_number 10
_symmetry_space_group_name_Hall '-P 2y'
loop_
_atom_site_label
_atom_site_type_symbol
_atom_site_fract_x
_atom_site_fract_y
_atom_site_fract_z
Rb1 Rb 0.000 0.000 0.000
Rb2 Rb 0.500 0.500 0.000
La1 La 0.000 0.500 0.500
Th1 Th 0.500 0.000 0.500
Se1 Se 0.244 0.000 0.705
Se2 Se 0.273 0.500 0.296
# Mass density = 5.3 g cm⁻³
# E_form (uncorrected) = -1.6596 eV per atom
# E = -5.187 eV/atom
# Magnetic moment = 0.0002 μB/atom